Entry 1:
PrGeAsO: optimized geometry, GGA-PBE.

Its total DFT energy (no corrections) is -5.70 eV per atom. The theoretical density comes out at 5.76 g cm⁻³.

The space group is P4/nmm (No. 129, origin choice 2) and the conventional cell measures 5.962, 5.962 and 4.935 Å, with angles of 90.00, 90.00 and 90.00 degrees. The distinct sites, in fractional coordinates, are Pr at (0.250, 0.750, 0.000), Ge at (0.250, 0.250, 0.497), As at (0.250, 0.250, 0.997) and O at (0.250, 0.750, 0.500).



Entry 2:
SmGeAsO: optimized geometry, GGA-PBE.

Its total DFT energy (no corrections) is -6.21 eV per atom. The theoretical density comes out at 6.52 g cm⁻³.

The space group is P4/nmm (No. 129, origin choice 2) and the conventional cell measures 4.151, 4.151 and 9.277 Å, with angles of 90.00, 90.00 and 90.00 degrees. The distinct sites, in fractional coordinates, are Sm at (0.250, 0.250, 0.115), Ge at (0.250, 0.750, 0.500), As at (0.250, 0.250, 0.696) and O at (0.250, 0.750, 0.000).



Entry 3:
SmGeAsO: optimized geometry, GGA-PBE.

Its total DFT energy (no corrections) is -6.11 eV per atom. The theoretical density comes out at 6.07 g cm⁻³.

The space group is Pmc2_1 (No. 26) and the conventional cell measures 3.915, 6.174 and 7.109 Å, with angles of 90.00, 90.00 and 90.00 degrees. The distinct sites, in fractional coordinates, are Sm at (0.000, 0.233, 0.000), Ge at (0.500, 0.399, 0.616), As at (0.000, 0.248, 0.427) and O at (0.500, 0.233, 0.838).